(1)
## SbOsSI2 (PBE-GGA)

Data for a relaxed SbOsSI2 crystal.

```
SbOsSI2
1.0
5.347 0.000 0.000
0.000 5.347 0.000
0.000 0.000 5.140
I Sb S Os
2 1 1 1
Cartesian
0.000 2.674 0.000
2.674 0.000 0.000
0.000 0.000 2.570
2.674 2.674 2.570
0.000 0.000 0.000
```

Summary:
Crystal system ... tetragonal
M_tot ... 0.2 μB per formula unit
Uncorrected formation energy ... 449 kJ/mol of formula units
Density ... 6.75 Mg/m³

(2)
## SbOsSI2 (PBE-GGA)

Data for a relaxed SbOsSI2 crystal.

```
SbOsSI2
1.0
5.488 0.000 0.000
0.000 5.488 0.000
0.000 0.000 5.227
I Sb S Os
2 1 1 1
Cartesian
0.000 2.744 0.000
2.744 0.000 0.000
0.000 0.000 2.614
0.000 0.000 0.000
2.744 2.744 2.614
```

Summary:
Crystal system ... tetragonal
M_tot ... 3.8 μB per formula unit
Uncorrected formation energy ... 805 kJ/mol of formula units
Density ... 6.31 Mg/m³

Per-record energy relative to the lowest polymorph listed for this composition, eV per atom: 0.000 0.738
Per-record DOS(E_F), states/eV per atom: 1.34 1.41